Below is a geometry-optimized Ca2AlCo structure, with properties calculated at the PBE level.

a = 3.335 Å, b = 3.335 Å, c = 8.401 Å
α = 90.00°, β = 90.00°, γ = 90.00°
Positions (direct):
Ca 0.000 0.000 0.000
Ca 0.500 0.500 0.391
Al 0.500 0.500 0.741
Co 0.000 0.000 0.635

Properties
DFT formation energy = -32 meV/atom
total moment = 0.7 μB per cell